La3ThTl2 | PBE | relaxed

Properties
Distance to the lowest polymorph of the same formula: 0.0000 eV per atom
Total moment: 0.00 μB/cell
Formation enthalpy at 0 K: -0.270 eV per atom

CIF file:
```
data_La3ThTl2
_symmetry_space_group_name_H-M 'P 4/m m m'
_symmetry_Int_Tables_number 123
_symmetry_space_group_name_Hall '-P 4 2'
_cell_length_a 3.687
_cell_length_b 3.687
_cell_length_c 14.108
_cell_angle_alpha 90.00
_cell_angle_beta 90.00
_cell_angle_gamma 90.00
loop_
_atom_site_label
_atom_site_type_symbol
_atom_site_fract_x
_atom_site_fract_y
_atom_site_fract_z
La1 La 0.000 0.000 0.000
La2 La 0.000 0.000 0.325
Th1 Th 0.500 0.500 0.500
Tl1 Tl 0.500 0.500 0.161
```